Entry 1:
# PBE-GGA Ca3UNb2N6, optimized geometry
# * crystal system: monoclinic
# * E_form (uncorrected): -1.23 eV per atom
data_Ca3UNb2N6
_chemical_formula_sum 'Ca6 U2 Nb4 N12'
_cell_length_a 5.700
_cell_length_b 9.872
_cell_length_c 5.910
_cell_angle_alpha 90.00
_cell_angle_beta 108.71
_cell_angle_gamma 90.00
_symmetry_space_group_name_H-M 'C 1 2/m 1'
_symmetry_Int_Tables_number 12
loop_
_symmetry_equiv_pos_as_xyz
'x,y,z'
'-x,-y,-z'
'-x,y,-z'
'x,-y,z'
'x+1/2,y+1/2,z'
'-x+1/2,-y+1/2,-z'
'-x+1/2,y+1/2,-z'
'x+1/2,-y+1/2,z'
loop_
_atom_site_label
_atom_site_fract_x
_atom_site_fract_y
_atom_site_fract_z
Ca1 0.000 0.000 0.000
Ca2 0.000 0.330 0.000
U1 0.000 0.500 0.500
Nb1 0.000 0.166 0.500
N1 0.237 0.334 0.715
N2 0.240 0.000 0.713

***

Entry 2:
# PBE-GGA Ca2UNbN4, optimized geometry
# * crystal system: monoclinic
# * E_form (uncorrected): -1.23 eV per atom
data_Ca2UNbN4
_chemical_formula_sum 'Ca2 U1 Nb1 N4'
_cell_length_a 5.725
_cell_length_b 3.368
_cell_length_c 5.935
_cell_angle_alpha 90.00
_cell_angle_beta 108.63
_cell_angle_gamma 90.00
_symmetry_space_group_name_H-M 'P 1 2/m 1'
_symmetry_Int_Tables_number 10
loop_
_symmetry_equiv_pos_as_xyz
'x,y,z'
'-x,-y,-z'
'-x,y,-z'
'x,-y,z'
loop_
_atom_site_label
_atom_site_fract_x
_atom_site_fract_y
_atom_site_fract_z
Ca1 0.000 0.000 0.000
Ca2 0.500 0.500 0.000
U1 0.000 0.500 0.500
Nb1 0.500 0.000 0.500
N1 0.240 0.000 0.714
N2 0.261 0.500 0.286